First-principles (PBE) data for crystalline TaPbIO6 at its relaxed geometry, as listed in the Alexandria database.

**Fermi-level density of states**: 0.000 states/eV per cell

Cell lengths 5.5262, 5.5262, 10.7163 Å; angles 90.00, 90.00, 120.00 degrees
Space group P-31c (No. 163)
Symmetry-distinct sites (fractional):
Ta 0.3333 0.6667 0.2500 x2
Pb 0.0000 0.0000 0.0000 x2
I 0.3333 0.6667 0.7500 x2
O 0.0123 0.3844 0.1454 x12

First-principles (PBE) data for crystalline Ta2PbIO at its relaxed geometry, as listed in the Alexandria database.

**Fermi-level density of states**: 6.469 states/eV per cell

Cell lengths 4.993, 4.993, 6.152 Å; angles 90.00, 90.00, 90.00 degrees
Space group P4/mmm (No. 123)
Symmetry-distinct sites (fractional):
Ta 0.000 0.500 0.000 x2
Pb 0.000 0.000 0.500 x1
I 0.000 0.000 0.000 x1
O 0.500 0.500 0.500 x1

First-principles (PBE) data for crystalline TaPbIO2 at its relaxed geometry, as listed in the Alexandria database.

**Fermi-level density of states**: 4.287 states/eV per cell

Cell lengths 4.162, 4.162, 6.031 Å; angles 90.00, 90.00, 90.00 degrees
Space group P4/mmm (No. 123)
Symmetry-distinct sites (fractional):
Ta 0.000 0.000 0.000 x1
Pb 0.500 0.500 0.500 x1
I 0.000 0.000 0.500 x1
O 0.000 0.500 0.000 x2

First-principles (PBE) data for crystalline TcPbIO6 at its relaxed geometry, as listed in the Alexandria database.

**Fermi-level density of states**: 0.496 states/eV per cell

Cell lengths 5.4375, 5.4375, 5.3430 Å; angles 90.00, 90.00, 120.00 degrees
Space group P312 (No. 149)
Symmetry-distinct sites (fractional):
Tc 0.0000 0.0000 0.0000 x1
Pb 0.6667 0.3333 0.5000 x1
I 0.3333 0.6667 0.0000 x1
O 0.0360 0.3243 0.2064 x6

First-principles (PBE) data for crystalline TcPbIO2 at its relaxed geometry, as listed in the Alexandria database.

**Fermi-level density of states**: 1.994 states/eV per cell

Cell lengths 4.267, 4.267, 5.983 Å; angles 90.00, 90.00, 90.00 degrees
Space group P4/mmm (No. 123)
Symmetry-distinct sites (fractional):
Tc 0.000 0.000 0.000 x1
Pb 0.500 0.500 0.500 x1
I 0.500 0.500 0.000 x1
O 0.000 0.500 0.500 x2

First-principles (PBE) data for crystalline TcPbIO2 at its relaxed geometry, as listed in the Alexandria database.

**Fermi-level density of states**: 4.105 states/eV per cell

Cell lengths 4.179, 4.179, 5.472 Å; angles 90.00, 90.00, 90.00 degrees
Space group P4/mmm (No. 123)
Symmetry-distinct sites (fractional):
Tc 0.000 0.000 0.000 x1
Pb 0.500 0.500 0.500 x1
I 0.000 0.000 0.500 x1
O 0.000 0.500 0.000 x2

First-principles (PBE) data for crystalline TcPb2IO4 at its relaxed geometry, as listed in the Alexandria database.

**Fermi-level density of states**: 3.047 states/eV per cell

Cell lengths 9.946, 3.463, 9.892 Å; angles 90.00, 107.92, 90.00 degrees
Space group C2/m (No. 12)
Symmetry-distinct sites (fractional):
Tc 0.000 0.000 0.000 x2
Pb 0.198 0.000 0.803 x4
I 0.000 0.500 0.500 x2
O 0.112 0.500 0.964 x4
O 0.121 0.000 0.184 x4

First-principles (PBE) data for crystalline Te2PbIO at its relaxed geometry, as listed in the Alexandria database.

**Fermi-level density of states**: 5.905 states/eV per cell

Cell lengths 6.064, 6.064, 6.298 Å; angles 90.00, 90.00, 90.00 degrees
Space group P4/mmm (No. 123)
Symmetry-distinct sites (fractional):
Te 0.000 0.500 0.000 x2
Pb 0.000 0.000 0.000 x1
I 0.000 0.000 0.500 x1
O 0.500 0.500 0.500 x1

First-principles (PBE) data for crystalline TePbIO2 at its relaxed geometry, as listed in the Alexandria database.

**Fermi-level density of states**: 3.429 states/eV per cell

Cell lengths 4.343, 4.343, 6.477 Å; angles 90.00, 90.00, 90.00 degrees
Space group P4/mmm (No. 123)
Symmetry-distinct sites (fractional):
Te 0.000 0.000 0.000 x1
Pb 0.500 0.500 0.500 x1
I 0.000 0.000 0.500 x1
O 0.000 0.500 0.000 x2

First-principles (PBE) data for crystalline TePbI2O at its relaxed geometry, as listed in the Alexandria database.

**Fermi-level density of states**: 1.940 states/eV per cell

Cell lengths 5.459, 5.459, 5.027 Å; angles 90.00, 90.00, 90.00 degrees
Space group P4/mmm (No. 123)
Symmetry-distinct sites (fractional):
Te 0.000 0.000 0.000 x1
Pb 0.500 0.500 0.000 x1
I 0.000 0.500 0.500 x2
O 0.000 0.000 0.500 x1

First-principles (PBE) data for crystalline TePbI2O at its relaxed geometry, as listed in the Alexandria database.

**Fermi-level density of states**: 8.767 states/eV per cell

Cell lengths 6.203, 6.203, 6.255 Å; angles 90.00, 90.00, 90.00 degrees
Space group P4/mmm (No. 123)
Symmetry-distinct sites (fractional):
Te 0.000 0.000 0.000 x1
Pb 0.000 0.000 0.500 x1
I 0.000 0.500 0.500 x2
O 0.500 0.500 0.000 x1

First-principles (PBE) data for crystalline TePbIO2 at its relaxed geometry, as listed in the Alexandria database.

**Fermi-level density of states**: 4.177 states/eV per cell

Cell lengths 4.326, 4.326, 7.044 Å; angles 90.00, 90.00, 90.00 degrees
Space group P4/mmm (No. 123)
Symmetry-distinct sites (fractional):
Te 0.000 0.000 0.000 x1
Pb 0.500 0.500 0.500 x1
I 0.500 0.500 0.000 x1
O 0.000 0.500 0.500 x2

First-principles (PBE) data for crystalline TePbI2O at its relaxed geometry, as listed in the Alexandria database.

**Fermi-level density of states**: 4.205 states/eV per cell

Cell lengths 6.340, 6.340, 4.167 Å; angles 90.00, 90.00, 90.00 degrees
Space group P4/mmm (No. 123)
Symmetry-distinct sites (fractional):
Te 0.000 0.000 0.000 x1
Pb 0.500 0.500 0.500 x1
I 0.000 0.500 0.500 x2
O 0.500 0.500 0.000 x1

First-principles (PBE) data for crystalline Te2PbIO at its relaxed geometry, as listed in the Alexandria database.

**Fermi-level density of states**: 3.698 states/eV per cell

Cell lengths 4.610, 4.610, 6.597 Å; angles 90.00, 90.00, 90.00 degrees
Space group P4/mmm (No. 123)
Symmetry-distinct sites (fractional):
Te 0.000 0.500 0.000 x2
Pb 0.000 0.000 0.500 x1
I 0.500 0.500 0.500 x1
O 0.500 0.500 0.000 x1

First-principles (PBE) data for crystalline TePbI2O at its relaxed geometry, as listed in the Alexandria database.

**Fermi-level density of states**: 3.907 states/eV per cell

Cell lengths 6.216, 6.216, 4.131 Å; angles 90.00, 90.00, 90.00 degrees
Space group P4/mmm (No. 123)
Symmetry-distinct sites (fractional):
Te 0.000 0.000 0.000 x1
Pb 0.500 0.500 0.500 x1
I 0.000 0.500 0.000 x2
O 0.000 0.000 0.500 x1

First-principles (PBE) data for crystalline TiPbIO2 at its relaxed geometry, as listed in the Alexandria database.

**Fermi-level density of states**: 6.124 states/eV per cell

Cell lengths 4.186, 4.186, 6.311 Å; angles 90.00, 90.00, 90.00 degrees
Space group P4/mmm (No. 123)
Symmetry-distinct sites (fractional):
Ti 0.000 0.000 0.000 x1
Pb 0.500 0.500 0.500 x1
I 0.500 0.500 0.000 x1
O 0.000 0.500 0.500 x2

First-principles (PBE) data for crystalline Tl2PbIO8 at its relaxed geometry, as listed in the Alexandria database.

**Fermi-level density of states**: 1.856 states/eV per cell

Cell lengths 5.078, 6.906, 5.086 Å; angles 90.00, 92.89, 90.00 degrees
Space group P2/m (No. 10)
Symmetry-distinct sites (fractional):
Tl 0.000 0.245 0.000 x2
Pb 0.500 0.500 0.500 x1
I 0.500 0.000 0.500 x1
O 0.196 0.500 0.195 x2
O 0.220 0.000 0.219 x2
O 0.323 0.210 0.675 x4

First-principles (PBE) data for crystalline TlPb2IO2 at its relaxed geometry, as listed in the Alexandria database.

**Fermi-level density of states**: 0.000 states/eV per cell

Cell lengths 7.406, 6.287, 7.722 Å; angles 90.00, 95.45, 90.00 degrees
Space group P2_1/m (No. 11)
Symmetry-distinct sites (fractional):
Tl 0.154 0.250 0.402 x2
Pb 0.115 0.250 0.883 x2
Pb 0.341 0.750 0.721 x2
I 0.352 0.750 0.146 x2
O 0.130 0.502 0.689 x4

First-principles (PBE) data for crystalline TlPbIO6 at its relaxed geometry, as listed in the Alexandria database.

Cell lengths 5.6251, 5.6251, 5.2573 Å; angles 90.00, 90.00, 120.00 degrees
Space group P312 (No. 149)
Symmetry-distinct sites (fractional):
Tl 0.0000 0.0000 0.0000 x1
Pb 0.6667 0.3333 0.5000 x1
I 0.3333 0.6667 0.0000 x1
O 0.0600 0.3806 0.2109 x6

First-principles (PBE) data for crystalline TmPbIO6 at its relaxed geometry, as listed in the Alexandria database.

**Fermi-level density of states**: 0.000 states/eV per cell

Cell lengths 5.6199, 5.6199, 10.3783 Å; angles 90.00, 90.00, 120.00 degrees
Space group P-31c (No. 163)
Symmetry-distinct sites (fractional):
Tm 0.3333 0.6667 0.2500 x2
Pb 0.0000 0.0000 0.0000 x2
I 0.3333 0.6667 0.7500 x2
O 0.0431 0.3966 0.6455 x12

Calculated total DFT energy (no corrections) (eV for the cell shown), listed in the same order as above: -119.75, -22.10, -31.27, -53.21, -22.84, -26.60, -94.18, -12.13, -19.13, -14.30, -11.64, -18.07, -14.57, -17.00, -15.72, -22.88, -56.04, -52.76, -42.88, -105.33
Calculated formation energy without anion corrections (kJ/mol of formula units), listed in the same order as above: -1256, 1141, -409, -756, 260, -102, -764, 422, -79, 59, 316, 24, 33, -48, -79, 19, -616, -495, -532, -1272